A plane-wave DFT calculation with PBE-GGA was carried out for a relaxed structure of RbPm4Pt3O12.

abc: 8.514 8.514 8.514
angles: 90.00 90.00 90.00
Space group Im-3 (No. 204)
Unique sites:
Rb: 0.000 0.000 0.000 (multiplicity 2)
Pm: 0.250 0.250 0.250 (multiplicity 8)
Pt: 0.000 0.000 0.500 (multiplicity 6)
O: 0.000 0.157 0.329 (multiplicity 24)

Output
M_tot, μB/f.u.: 5.041
Formation energy from raw total energies, eV/atom: -1.92
Calculated total energy, eV for the cell shown: -272.1